No. 1
The following is a PBE calculation of an optimized crystal structure of Na2LiInBr6, from Alexandria via LeMat-Bulk.

a = 7.057 Å, b = 7.057 Å, c = 8.260 Å
α = 64.72°, β = 64.72°, γ = 60.00°
Fractional coordinates of all 10 atoms:
Na 0.518 0.518 0.446
Na 0.018 0.018 0.946
Br 0.590 0.292 0.173
Br 0.292 0.946 0.173
Br 0.103 0.440 0.736
Br 0.722 0.102 0.736
Br 0.945 0.590 0.173
Br 0.440 0.722 0.736
Li 0.690 0.690 0.931
In 0.344 0.344 0.967

Properties
SG: No. 146
Formation energy from raw total energies (kcal/mol of atoms): -28.9



No. 2
The following is a PBE calculation of an optimized crystal structure of SrTi2GaHg, from Alexandria via LeMat-Bulk.

a = 4.907 Å, b = 5.809 Å, c = 4.907 Å
α = 90.00°, β = 90.00°, γ = 90.00°
Site moments in Bohr magnetons follow the coordinates.
Fractional coordinates of all 5 atoms:
Ga 0.000 0.000 0.000  0.00
Sr 0.000 0.500 0.000  0.05
Hg 0.500 0.500 0.500  0.03
Ti 0.000 0.000 0.500  0.68
Ti 0.500 0.000 0.000  0.84

Properties
Energy relative to the elements (eV/atom): 0.49
SG: No. 123



No. 3
The following is a PBE calculation of an optimized crystal structure of TlGa3O, from Alexandria via LeMat-Bulk.

a = 5.353 Å, b = 5.353 Å, c = 5.353 Å
α = 90.00°, β = 90.00°, γ = 90.00°
Fractional coordinates of all 5 atoms:
Ga 0.000 0.000 0.500
Ga 0.000 0.500 0.000
Ga 0.500 0.000 0.000
O 0.500 0.500 0.500
Tl 0.000 0.000 0.000

Properties
Energy relative to the lowest polymorph listed for this composition (kJ per mole of atoms): 99.37
SG: No. 221
Formation energy from raw total energies (kcal/mol of atoms): 20.4



No. 4
The following is a PBE calculation of an optimized crystal structure of Zr8Tl2Bi, from Alexandria via LeMat-Bulk.

a = 5.420 Å, b = 7.966 Å, c = 7.966 Å
α = 119.96°, β = 103.06°, γ = 103.06°
Fractional coordinates of all 11 atoms:
Zr 0.843 0.683 0.905
Zr 0.705 0.412 0.412
Zr 0.500 0.221 0.779
Zr 0.157 0.095 0.317
Zr 0.843 0.905 0.683
Zr 0.500 0.779 0.221
Zr 0.295 0.588 0.588
Zr 0.157 0.317 0.095
Tl 0.000 0.306 0.694
Tl 0.000 0.694 0.306
Bi 0.500 0.000 0.000

Properties
Energy relative to the elements (eV/atom): 0.05
SG: No. 12



The evaluated raw total energy for the records listed, in turn: -2.99; -3.67; -2.40; -6.95 eV per atom.